# 1
An optimized crystal structure of NbCrSi, computed with GGA-PBE.

Cell lengths 6.731, 6.731, 2.777 Å; angles 99.06, 99.06, 132.01 degrees
Element x y z (fractional)
Nb1 0.185 0.815 0.000
Nb2 0.815 0.185 0.000
Cr1 0.210 0.210 0.795
Cr2 0.790 0.790 0.205
Si1 0.379 0.621 0.500
Si2 0.621 0.379 0.500

Properties
The value obtained for the raw formation energy is -5.99 kcal/mol of atoms.

---

# 2
An optimized crystal structure of NbCrSi, computed with GGA-PBE.

Cell lengths 4.997, 4.997, 5.005 Å; angles 90.00, 90.00, 136.49 degrees
Element x y z (fractional)
Nb1 0.202 0.798 0.750
Nb2 0.798 0.202 0.250
Cr1 0.500 0.500 0.000
Cr2 0.500 0.500 0.500
Si1 0.096 0.904 0.250
Si2 0.904 0.096 0.750

Properties
The value obtained for the raw formation energy is -10.37 kcal/mol of atoms.

---

# 3
An optimized crystal structure of Nb4Cr2Si5, computed with GGA-PBE.

Cell lengths 9.388, 9.388, 9.388 Å; angles 130.31, 59.46, 149.45 degrees
Element x y z (fractional)
Nb1 0.063 0.744 0.807
Nb2 0.143 0.113 0.256
Nb3 0.357 0.613 0.970
Nb4 0.437 0.244 0.681
Nb5 0.563 0.756 0.319
Nb6 0.643 0.387 0.030
Nb7 0.857 0.887 0.744
Nb8 0.937 0.256 0.193
Cr1 0.056 0.750 0.306
Cr2 0.444 0.750 0.694
Cr3 0.556 0.250 0.306
Cr4 0.944 0.250 0.694
Si1 0.071 0.418 0.489
Si2 0.218 0.794 0.011
Si3 0.250 0.250 0.000
Si4 0.282 0.294 0.576
Si5 0.429 0.918 0.347
Si6 0.571 0.082 0.653
Si7 0.718 0.706 0.424
Si8 0.750 0.750 0.000
Si9 0.782 0.206 0.989
Si10 0.929 0.582 0.511

Properties
The value obtained for the raw formation energy is -12.47 kcal/mol of atoms.